Arrangement w

First-principles (GGA-PBE) data for a relaxed structure of Ba3Sr2Ca8, as listed in Alexandria.

Results
Theoretical density = 2.33 g/cm3

Unit cell a=15.0264 b=13.3374 c=6.9687 alpha=90.00 beta=112.39 gamma=90.00
Space group C2/m (No. 12)
Inequivalent atoms, fractional coordinates:
Ba  0.0000  0.0000  0.0000 x2
Ba  0.0000  0.2487  0.5000 x4
Sr  0.2001  0.5000  0.8383 x4
Ca  0.0682  0.5000  0.2691 x4
Ca  0.1643  0.0000  0.5818 x4
Ca  0.1780  0.2576  0.1839 x8



Arrangement x

First-principles (GGA-PBE) data for a relaxed structure of Ba3Sr2Ca8, as listed in Alexandria.

Results
Theoretical density = 2.21 g/cm3

Unit cell a=7.3327 b=7.3327 c=43.8502 alpha=90.00 beta=90.00 gamma=120.00
Space group R-3m (No. 166, hexagonal axes)
Inequivalent atoms, fractional coordinates:
Ba  0.0000  0.0000  0.0000 x3
Ba  0.0000  0.0000  0.1827 x6
Sr  0.0000  0.0000  0.3589 x6
Ca  0.0000  0.0000  0.2725 x6
Ca  0.0018  0.5009  0.7668 x18



Stability, highest: arrangement w



Arrangement w

First-principles (GGA-PBE) data for a relaxed structure of Ba3Sr3Ca, as listed in Alexandria.

Results
Theoretical density = 3.01 g/cm3

Unit cell a=11.3790 b=11.3790 c=7.0322 alpha=90.00 beta=90.00 gamma=120.00
Space group P6_3/m (No. 176)
Inequivalent atoms, fractional coordinates:
Ba  0.0576  0.2480  0.2500 x6
Sr  0.0986  0.4856  0.7500 x6
Ca  0.3333  0.6667  0.2500 x2



Arrangement x

First-principles (GGA-PBE) data for a relaxed structure of Ba3Sr3Ca, as listed in Alexandria.

Results
Theoretical density = 2.88 g/cm3

Unit cell a=10.3399 b=12.0006 c=13.2895 alpha=90.00 beta=90.51 gamma=90.00
Space group C2/m (No. 12)
Inequivalent atoms, fractional coordinates:
Ba  0.1591  0.0000  0.4089 x4
Ba  0.1959  0.1853  0.7522 x8
Sr  0.0000  0.3185  0.0000 x4
Sr  0.0000  0.3216  0.5000 x4
Sr  0.1664  0.0000  0.0793 x4
Ca  0.0171  0.5000  0.7517 x4



Stability, highest: arrangement w



Arrangement w

First-principles (GGA-PBE) data for a relaxed structure of Ba5SrCa, as listed in Alexandria.

Results
Theoretical density = 3.14 g/cm3

Unit cell a=11.1153 b=14.9483 c=10.4997 alpha=90.00 beta=98.63 gamma=90.00
Space group C2/c (No. 15)
Inequivalent atoms, fractional coordinates:
Ba  0.0000  0.0123  0.2500 x4
Ba  0.1263  0.2585  0.6227 x8
Ba  0.1614  0.4993  0.9077 x8
Sr  0.2500  0.2500  0.0000 x4
Ca  0.0000  0.2774  0.2500 x4



Arrangement x

First-principles (GGA-PBE) data for a relaxed structure of Ba5SrCa, as listed in Alexandria.

Results
Theoretical density = 3.11 g/cm3

Unit cell a=7.4789 b=27.5606 c=8.4753 alpha=90.00 beta=95.94 gamma=90.00
Space group C2/c (No. 15)
Inequivalent atoms, fractional coordinates:
Ba  0.0000  0.1418  0.2500 x4
Ba  0.0052  0.2953  0.4934 x8
Ba  0.2410  0.0364  0.6156 x8
Sr  0.0000  0.1635  0.7500 x4
Ca  0.0000  0.4168  0.7500 x4



Stability, highest: arrangement x